VASP calculation (PBE-GGA) on a relaxed Ti6Sb2HO crystal.

a = 8.248 Å, b = 8.281 Å, c = 8.548 Å
α = 90.00°, β = 90.00°, γ = 90.00°
Space group Fmmm (No. 69)
Asymmetric unit:
Ti (0.000, 0.000, 0.247) (multiplicity 8)
Ti (0.000, 0.247, 0.000) (multiplicity 8)
Ti (0.247, 0.000, 0.000) (multiplicity 8)
Sb (0.250, 0.250, 0.250) (multiplicity 8)
H (0.000, 0.000, 0.000) (multiplicity 4)
O (0.000, 0.000, 0.500) (multiplicity 4)

## Properties
**DOS(E_F)**: 50.5 states/eV/cell
**Total magnetic moment**: 0.02 μB per cell
**VASP energy**: -7.21 eV per atom
**Calculated volume**: 583.8 Å³/cell


VASP calculation (PBE-GGA) on a relaxed TmAl4Rh5 crystal.

a = 3.025 Å, b = 3.025 Å, c = 16.010 Å
α = 90.00°, β = 90.00°, γ = 90.00°
Space group P4/mmm (No. 123)
Asymmetric unit:
Tm (0.000, 0.000, 0.000) (multiplicity 1)
Al (0.000, 0.000, 0.214) (multiplicity 2)
Al (0.000, 0.000, 0.405) (multiplicity 2)
Rh (0.500, 0.500, 0.126) (multiplicity 2)
Rh (0.500, 0.500, 0.314) (multiplicity 2)
Rh (0.500, 0.500, 0.500) (multiplicity 1)

## Properties
**DOS(E_F)**: 3.1 states/eV/cell
**Total magnetic moment**: 0.00 μB per cell
**VASP energy**: -6.64 eV per atom
**Calculated volume**: 146.5 Å³/cell


VASP calculation (PBE-GGA) on a relaxed PrHS2 crystal.

a = 4.322 Å, b = 17.704 Å, c = 5.553 Å
α = 90.00°, β = 90.00°, γ = 90.00°
Space group Cmc2_1 (No. 36)
Asymmetric unit:
Pr (0.000, 0.179, 0.000) (multiplicity 4)
H (0.000, 0.469, 0.351) (multiplicity 4)
S (0.000, 0.211, 0.502) (multiplicity 4)
S (0.000, 0.428, 0.561) (multiplicity 4)

## Properties
**DOS(E_F)**: 0.0 states/eV/cell
**Total magnetic moment**: 0.00 μB per cell
**VASP energy**: -5.41 eV per atom
**Offset from the most stable computed form**: 0.00 eV/f.u.
**Calculated volume**: 425.0 Å³/cell


VASP calculation (PBE-GGA) on a relaxed CdP crystal.

a = 3.271 Å, b = 3.271 Å, c = 7.631 Å
α = 90.00°, β = 90.00°, γ = 90.00°
Space group P4/nmm (No. 129, origin choice 2)
Asymmetric unit:
Cd (0.250, 0.250, 0.122) (multiplicity 2)
P (0.250, 0.250, 0.461) (multiplicity 2)

## Properties
**DOS(E_F)**: 1.5 states/eV/cell
**Total magnetic moment**: 0.00 μB per cell
**VASP energy**: -3.09 eV per atom
**Offset from the most stable computed form**: 0.24 eV/f.u.
**Calculated volume**: 81.6 Å³/cell


VASP calculation (PBE-GGA) on a relaxed Er3Zn2Au crystal.

a = 3.558 Å, b = 3.558 Å, c = 10.549 Å
α = 90.00°, β = 90.00°, γ = 90.00°
Space group P4/mmm (No. 123)
Asymmetric unit:
Er (0.000, 0.000, 0.000) (multiplicity 1)
Er (0.000, 0.000, 0.332) (multiplicity 2)
Zn (0.500, 0.500, 0.161) (multiplicity 2)
Au (0.500, 0.500, 0.500) (multiplicity 1)

## Properties
**DOS(E_F)**: 4.4 states/eV/cell
**Total magnetic moment**: 0.00 μB per cell
**VASP energy**: -3.79 eV per atom
**Offset from the most stable computed form**: 0.00 eV/f.u.
**Calculated volume**: 133.6 Å³/cell


VASP calculation (PBE-GGA) on a relaxed Ac2IrPb2 crystal.

a = 12.811 Å, b = 4.233 Å, c = 13.457 Å
α = 90.00°, β = 117.22°, γ = 90.00°
Space group C2/m (No. 12)
Asymmetric unit:
Ac (0.083, 0.000, 0.359) (multiplicity 4)
Ac (0.203, 0.000, 0.121) (multiplicity 4)
Ir (0.208, 0.500, 0.284) (multiplicity 4)
Pb (0.027, 0.500, 0.890) (multiplicity 4)
Pb (0.127, 0.500, 0.599) (multiplicity 4)

## Properties
**DOS(E_F)**: 9.5 states/eV/cell
**Total magnetic moment**: 0.00 μB per cell
**VASP energy**: -5.41 eV per atom
**Calculated volume**: 649.0 Å³/cell


VASP calculation (PBE-GGA) on a relaxed TiTlF crystal.

a = 14.334 Å, b = 3.085 Å, c = 5.344 Å
α = 90.00°, β = 90.00°, γ = 90.00°
Space group Amm2 (No. 38)
Asymmetric unit:
Ti (0.168, 0.000, 0.000) (multiplicity 4)
Tl (0.000, 0.000, 0.333) (multiplicity 2)
Tl (0.500, 0.000, 0.307) (multiplicity 2)
F (0.254, 0.000, 0.333) (multiplicity 4)

## Properties
**DOS(E_F)**: 11.8 states/eV/cell
**Formation energy without anion corrections**: -361 kJ/mol of formula units
**Total magnetic moment**: 0.00 μB per cell
**VASP energy**: -5.29 eV per atom
**Calculated volume**: 236.3 Å³/cell


VASP calculation (PBE-GGA) on a relaxed La8Sb3Te4Br crystal.

a = 9.1542 Å, b = 9.1542 Å, c = 22.4441 Å
α = 90.00°, β = 90.00°, γ = 120.00°
Space group R-3m (No. 166, hexagonal axes)
Asymmetric unit:
La (0.0000, 0.0000, 0.2477) (multiplicity 6)
La (0.0067, 0.5033, 0.7509) (multiplicity 18)
Sb (0.0000, 0.5000, 0.5000) (multiplicity 9)
Te (0.0000, 0.0000, 0.0000) (multiplicity 3)
Te (0.0000, 0.5000, 0.0000) (multiplicity 9)
Br (0.0000, 0.0000, 0.5000) (multiplicity 3)

## Properties
**DOS(E_F)**: 31.5 states/eV/cell
**Formation energy without anion corrections**: -2265 kJ/mol of formula units
**Total magnetic moment**: 0.00 μB per cell
**VASP energy**: -5.59 eV per atom
**Calculated volume**: 1628.8 Å³/cell


VASP calculation (PBE-GGA) on a relaxed SrTl3Cd crystal.

a = 5.044 Å, b = 5.044 Å, c = 12.614 Å
α = 90.00°, β = 90.00°, γ = 90.00°
Space group I4mm (No. 107)
Asymmetric unit:
Sr (0.000, 0.000, 0.000) (multiplicity 2)
Tl (0.000, 0.000, 0.393) (multiplicity 2)
Tl (0.000, 0.500, 0.247) (multiplicity 4)
Cd (0.000, 0.000, 0.617) (multiplicity 2)

## Properties
**DOS(E_F)**: 3.9 states/eV/cell
**Total magnetic moment**: 0.00 μB per cell
**VASP energy**: -2.11 eV per atom
**Offset from the most stable computed form**: 0.00 eV/f.u.
**Calculated volume**: 320.9 Å³/cell


VASP calculation (PBE-GGA) on a relaxed Tm2Mg3Sn3 crystal.

a = 4.586 Å, b = 4.697 Å, c = 8.879 Å
α = 90.00°, β = 90.00°, γ = 90.00°
Space group Pmmm (No. 47)
Asymmetric unit:
Tm (0.000, 0.000, 0.243) (multiplicity 2)
Mg (0.000, 0.500, 0.500) (multiplicity 1)
Mg (0.500, 0.500, 0.256) (multiplicity 2)
Sn (0.000, 0.500, 0.000) (multiplicity 1)
Sn (0.500, 0.000, 0.000) (multiplicity 1)
Sn (0.500, 0.000, 0.500) (multiplicity 1)

## Properties
**DOS(E_F)**: 2.8 states/eV/cell
**Total magnetic moment**: 0.00 μB per cell
**VASP energy**: -3.62 eV per atom
**Calculated volume**: 191.3 Å³/cell


VASP calculation (PBE-GGA) on a relaxed CaMgGa2 crystal.

a = 4.649 Å, b = 4.649 Å, c = 4.046 Å
α = 90.00°, β = 90.00°, γ = 90.00°
Space group P4/mmm (No. 123)
Asymmetric unit:
Ca (0.000, 0.000, 0.000) (multiplicity 1)
Mg (0.500, 0.500, 0.000) (multiplicity 1)
Ga (0.000, 0.500, 0.500) (multiplicity 2)

## Properties
**DOS(E_F)**: 1.6 states/eV/cell
**Total magnetic moment**: 0.00 μB per cell
**VASP energy**: -2.70 eV per atom
**Calculated volume**: 87.4 Å³/cell


VASP calculation (PBE-GGA) on a relaxed CsBeFe3 crystal.

a = 4.356 Å, b = 4.356 Å, c = 4.356 Å
α = 90.00°, β = 90.00°, γ = 90.00°
Space group Pm-3m (No. 221)
Asymmetric unit:
Cs (0.000, 0.000, 0.000) (multiplicity 1)
Be (0.500, 0.500, 0.500) (multiplicity 1)
Fe (0.000, 0.500, 0.500) (multiplicity 3)

## Properties
**DOS(E_F)**: 5.3 states/eV/cell
**Total magnetic moment**: 6.79 μB per cell
**VASP energy**: -4.71 eV per atom
**Offset from the most stable computed form**: 0.00 eV/f.u.
**Calculated volume**: 82.7 Å³/cell


Number 6 is which compound?
Ac2IrPb2